# 1
A plane-wave DFT calculation with PBE was carried out for a relaxed structure of LuCoTcSb.

Unit cell a=4.6955 b=4.6955 c=4.6955 alpha=60.00 beta=60.00 gamma=60.00
Closest atoms and distances in Å follow each position.
Sites, in units of the cell vectors:
Co 0.7500 0.7500 0.7500  4 Tc 2.88, 4 Sb 2.88
Lu 0.2500 0.2500 0.2500  4 Tc 2.88, 4 Sb 2.88
Tc 0.5000 0.5000 0.5000  4 Co 2.88, 4 Lu 2.88
Sb 0.0000 0.0000 0.0000  4 Co 2.88, 4 Lu 2.88

Values from the calculation:
The value obtained for the total magnetic moment is 3.68 μB/f.u. The calculation puts the energy above the most stable polymorph in this dataset at 497.2 meV per atom.

=====

# 2
A plane-wave DFT calculation with PBE was carried out for a relaxed structure of Lu2Sc2Co.

Unit cell a=5.9711 b=5.9711 c=12.4916 alpha=112.61 beta=112.61 gamma=34.55
Closest atoms and distances in Å follow each position.
Sites, in units of the cell vectors:
Lu 0.3838 0.3838 0.0525  3 Co 2.77-2.99
Lu 0.6162 0.6162 0.9475  3 Co 2.77-2.99
Lu 0.8216 0.8216 0.4296  1 Co 2.98, 4 Sc 3.27-3.29
Lu 0.1784 0.1784 0.5704  1 Co 2.98, 4 Sc 3.27-3.29
Sc 0.5061 0.5061 0.6739  2 Co 2.69
Sc 0.1565 0.1565 0.1949  2 Co 2.59
Sc 0.4939 0.4939 0.3261  2 Co 2.69
Sc 0.8435 0.8435 0.8051  2 Co 2.59
Co 0.8198 0.8198 0.1902  4 Sc 2.59-2.69, 2 Lu 2.77
Co 0.1802 0.1802 0.8098  4 Sc 2.59-2.69, 2 Lu 2.77

Values from the calculation:
Its energy of formation from the pure elements is -0.135 eV per atom. The value obtained for the total magnetic moment is 0.03 μB/f.u.

=====

# 3
A plane-wave DFT calculation with PBE was carried out for a relaxed structure of LuSc2Co.

Unit cell a=4.8327 b=4.8327 c=4.8327 alpha=60.00 beta=60.00 gamma=60.00
Closest atoms and distances in Å follow each position.
Sites, in units of the cell vectors:
Sc 0.0000 0.0000 0.0000  4 Co 2.96, 4 Sc 2.96
Sc 0.7500 0.7500 0.7500  4 Lu 2.96, 4 Sc 2.96
Lu 0.5000 0.5000 0.5000  4 Sc 2.96, 4 Co 2.96
Co 0.2500 0.2500 0.2500  4 Sc 2.96, 4 Lu 2.96

Values from the calculation:
Its energy of formation from the pure elements is 0.114 eV per atom. The value obtained for the total magnetic moment is 0.35 μB/f.u.

=====

# 4
A plane-wave DFT calculation with PBE was carried out for a relaxed structure of LuScCo2.

Unit cell a=4.4647 b=4.4647 c=4.4647 alpha=60.00 beta=60.00 gamma=60.00
Closest atoms and distances in Å follow each position.
Sites, in units of the cell vectors:
Sc 0.5000 0.5000 0.5000  4 Lu 2.73, 4 Co 2.73
Co 0.7500 0.7500 0.7500  4 Co 2.73, 4 Sc 2.73
Co 0.0000 0.0000 0.0000  4 Lu 2.73, 4 Co 2.73
Lu 0.2500 0.2500 0.2500  4 Sc 2.73, 4 Co 2.73

Values from the calculation:
Its energy of formation from the pure elements is 0.131 eV per atom. The value obtained for the total magnetic moment is 2.21 μB/f.u.